Record 1
Entry from Alexandria via LeMat-Bulk: a geometry-optimized LaPt2Br structure (PBE-GGA).

a b c (Å): 5.8952 5.8952 5.8952
angles (deg): 142.74 135.23 59.61
Last column: nearest neighbours and their distance in Å.
Fractional positions:
La1 0.0000 0.0000 0.0000  4 Br 2.93, 4 Pt 3.16
Pt1 0.2478 0.7478 0.5000  4 Pt 2.93, 2 La 3.16, 2 Br 3.19
Pt2 0.7522 0.2522 0.5000  4 Pt 2.93, 2 La 3.16, 2 Br 3.19
Br1 0.5000 0.5000 0.0000  4 La 2.93, 4 Pt 3.19

## Properties
For the theoretical density, the calculation gives 11.69 Mg/m³. The value obtained for the distance to the lowest polymorph of the same formula is 1.21 eV per formula unit. The total magnetic moment is 0.0 μB per cell. As for the formation energy without anion corrections: -683 meV/atom. The density of states at the Fermi level comes out at 1.18 states/eV/f.u. The calculated volume comes out at 21.6 Å³/atom.



Record 2
Entry from Alexandria via LeMat-Bulk: a geometry-optimized Na2In12Hg7 structure (PBE-GGA).

a b c (Å): 13.6465 13.6465 3.4757
angles (deg): 90.00 90.00 120.00
Last column: nearest neighbours and their distance in Å.
Fractional positions:
Na1 0.3333 0.6667 0.2360  6 Hg 3.25-3.27, 2 Na 3.48
Na2 0.6667 0.3333 0.7640  6 Hg 3.25-3.27, 2 Na 3.48
In1 0.0964 0.6698 0.7530  4 Hg 2.96-3.21, 1 In 3.30
In2 0.0993 0.2522 0.2323  3 Hg 3.14-3.30, 7 In 3.30-3.48
In3 0.1529 0.9007 0.2323  3 Hg 3.14-3.30, 7 In 3.30-3.48
In4 0.2522 0.1529 0.7677  3 Hg 3.14-3.30, 7 In 3.30-3.48
In5 0.3302 0.4265 0.7530  4 Hg 2.96-3.21, 1 In 3.30
In6 0.4265 0.0964 0.2470  4 Hg 2.96-3.21, 1 In 3.30
In7 0.5735 0.9036 0.7530  4 Hg 2.96-3.21, 1 In 3.30
In8 0.6698 0.5735 0.2470  4 Hg 2.96-3.21, 1 In 3.30
In9 0.7478 0.8471 0.2323  3 Hg 3.14-3.30, 7 In 3.30-3.48
In10 0.8471 0.0993 0.7677  3 Hg 3.14-3.30, 7 In 3.30-3.48
In11 0.9007 0.7478 0.7677  3 Hg 3.14-3.30, 7 In 3.30-3.48
In12 0.9036 0.3302 0.2470  4 Hg 2.96-3.21, 1 In 3.30
Hg1 0.0000 0.0000 0.5000  6 In 3.14, 2 Hg 3.48
Hg2 0.1262 0.4696 0.7310  6 In 2.96-3.30, 2 Na 3.25-3.27
Hg3 0.3434 0.8738 0.7310  6 In 2.96-3.30, 2 Na 3.25-3.27
Hg4 0.4696 0.3434 0.2690  6 In 2.96-3.30, 2 Na 3.25-3.27
Hg5 0.5304 0.6566 0.7310  6 In 2.96-3.30, 2 Na 3.25-3.27
Hg6 0.6566 0.1262 0.2690  6 In 2.96-3.30, 2 Na 3.25-3.27
Hg7 0.8738 0.5304 0.2690  6 In 2.96-3.30, 2 Na 3.25-3.27

## Properties
For the total energy, the calculation gives -1.83 eV per atom. For the theoretical density, the calculation gives 8.38 Mg/m³. The total magnetic moment is 0.0 μB per cell. The density of states at the Fermi level comes out at 10.06 states/eV/f.u. The calculated volume comes out at 26.7 Å³/atom.



Record 3
Entry from Alexandria via LeMat-Bulk: a geometry-optimized YHgOs structure (PBE-GGA).

a b c (Å): 3.4192 3.4192 6.5916
angles (deg): 90.00 90.00 120.00
Last column: nearest neighbours and their distance in Å.
Fractional positions:
Y1 0.0000 0.0000 0.0000  3 Os 2.77
Hg1 0.3333 0.6667 0.3883  3 Os 2.88
Os1 0.6667 0.3333 0.7061  3 Y 2.77, 3 Hg 2.88

## Properties
For the theoretical density, the calculation gives 11.94 Mg/m³. The value obtained for the distance to the lowest polymorph of the same formula is 0.63 eV per formula unit. The total magnetic moment is 0.0 μB per cell. The density of states at the Fermi level comes out at 1.27 states/eV/f.u. The calculated volume comes out at 22.2 Å³/atom.



Record 4
Entry from Alexandria via LeMat-Bulk: a geometry-optimized TaRe3Ir structure (PBE-GGA).

a b c (Å): 4.6597 4.6597 4.6597
angles (deg): 90.00 90.00 90.00
Last column: nearest neighbours and their distance in Å.
Fractional positions:
Ta1 0.0000 0.0000 0.0000  12 Re 3.29
Re1 0.0000 0.5000 0.5000  2 Ir 2.33
Re2 0.5000 0.0000 0.5000  2 Ir 2.33
Re3 0.5000 0.5000 0.0000  2 Ir 2.33
Ir1 0.5000 0.5000 0.5000  6 Re 2.33

## Properties
For the theoretical density, the calculation gives 15.29 Mg/m³. The value obtained for the distance to the lowest polymorph of the same formula is 0.00 eV per formula unit. The total magnetic moment is 0.0 μB per cell. The density of states at the Fermi level comes out at 5.33 states/eV/f.u. The calculated volume comes out at 20.2 Å³/atom.



Record 5
Entry from Alexandria via LeMat-Bulk: a geometry-optimized K3TlSi structure (PBE-GGA).

a b c (Å): 6.4614 6.4614 6.4614
angles (deg): 90.00 90.00 90.00
Last column: nearest neighbours and their distance in Å.
Fractional positions:
K1 0.0000 0.0000 0.5000  2 Si 3.23
K2 0.0000 0.5000 0.0000  2 Si 3.23
K3 0.5000 0.0000 0.0000  2 Si 3.23
Tl1 0.5000 0.5000 0.5000  12 K 4.57
Si1 0.0000 0.0000 0.0000  6 K 3.23

## Properties
For the theoretical density, the calculation gives 2.15 Mg/m³. The value obtained for the distance to the lowest polymorph of the same formula is 0.00 eV per formula unit. The total magnetic moment is 0.2 μB per cell. As for the formation energy without anion corrections: 401 meV/atom. The density of states at the Fermi level comes out at 5.09 states/eV/f.u. The calculated volume comes out at 54.0 Å³/atom.